Entry 1:
{
  "formula": "Ac6P5S",
  "functional": "PBE-GGA",
  "state": "optimized geometry",
  "dos_ef_per_ev_cell": 2.71,
  "dft_energy_ev_per_atom": -6.2567,
  "lattice": [[-4.507, -5.835, 2.109], [3.904, -4.700, 4.631], [-0.097, 1.137, 7.581]],
  "species": ["P", "P", "P", "P", "P", "Ac", "Ac", "Ac", "Ac", "Ac", "Ac", "S"],
  "frac_coords": [[0.000, 0.667, 0.666], [0.500, 0.834, 0.332], [0.500, 0.500, 0.000], [0.500, 0.166, 0.668], [0.000, 0.333, 0.334], [0.748, 0.084, 0.337], [0.252, 0.916, 0.663], [0.747, 0.747, 0.000], [0.252, 0.579, 0.337], [0.253, 0.253, 0.000], [0.748, 0.421, 0.663], [0.000, 0.000, 0.000]]
}

***

Entry 2:
{
  "formula": "Mg2PO4",
  "functional": "PBE-GGA",
  "state": "optimized geometry",
  "dos_ef_per_ev_cell": 0.80,
  "dft_energy_ev_per_atom": -6.2632,
  "lattice": [[5.094, 0.000, 0.000], [0.000, 5.094, 0.000], [-2.547, -2.547, 3.767]],
  "species": ["P", "O", "O", "O", "O", "Mg", "Mg"],
  "frac_coords": [[0.500, 0.500, 0.000], [0.200, 0.200, 0.757], [0.444, 0.800, 0.243], [0.556, 0.556, 0.757], [0.800, 0.444, 0.243], [0.750, 0.250, 0.500], [0.250, 0.750, 0.500]]
}

***

Entry 3:
{
  "formula": "Ba2Tl2Ag",
  "functional": "PBE-GGA",
  "state": "optimized geometry",
  "dos_ef_per_ev_cell": 8.85,
  "ef_kj_per_mol_atoms": -30,
  "lattice": [[-3.434, -2.100, 3.345], [2.768, -2.228, 5.537], [-3.518, 9.230, 6.277]],
  "species": ["Ba", "Ba", "Ba", "Ba", "Ag", "Ag", "Tl", "Tl", "Tl", "Tl"],
  "frac_coords": [[0.678, 0.305, 0.339], [0.322, 0.695, 0.661], [0.080, 0.727, 0.114], [0.920, 0.273, 0.886], [0.377, 0.902, 0.344], [0.623, 0.098, 0.656], [0.630, 0.856, 0.883], [0.912, 0.741, 0.435], [0.088, 0.259, 0.565], [0.370, 0.144, 0.117]]
}

***

Entry 4:
{
  "formula": "H3PbF6",
  "functional": "PBE-GGA",
  "state": "optimized geometry",
  "dos_ef_per_ev_cell": 0.79,
  "dft_energy_ev_per_atom": -4.2252,
  "lattice": [[-0.810, -0.395, -3.552], [0.057, -6.124, 1.928], [-4.944, 3.580, 1.990]],
  "species": ["H", "H", "H", "F", "F", "F", "F", "F", "F", "Pb"],
  "frac_coords": [[0.967, 0.000, 0.459], [0.967, 0.459, 0.000], [0.508, 0.541, 0.541], [0.136, 0.000, 0.601], [0.570, 0.760, 0.760], [0.136, 0.601, 0.000], [0.535, 0.399, 0.399], [0.810, 0.000, 0.240], [0.810, 0.240, 0.000], [0.222, 0.000, 0.000]]
}

***

Entry 5:
{
  "formula": "Nd2Zn3Cu4",
  "functional": "PBE-GGA",
  "state": "optimized geometry",
  "dos_ef_per_ev_cell": 12.68,
  "ef_kj_per_mol_atoms": -18,
  "lattice": [[5.569, 0.000, 0.000], [0.000, 7.554, 0.000], [-2.784, 0.000, 7.641]],
  "species": ["Nd", "Nd", "Nd", "Nd", "Zn", "Zn", "Zn", "Zn", "Zn", "Zn", "Cu", "Cu", "Cu", "Cu", "Cu", "Cu", "Cu", "Cu"],
  "frac_coords": [[0.387, 0.085, 0.774], [0.613, 0.915, 0.226], [0.113, 0.585, 0.226], [0.887, 0.415, 0.774], [0.000, 0.000, 0.000], [0.525, 0.750, 0.549], [0.500, 0.500, 0.000], [0.025, 0.750, 0.549], [0.975, 0.250, 0.451], [0.475, 0.250, 0.451], [0.810, 0.250, 0.119], [0.178, 0.984, 0.356], [0.690, 0.750, 0.881], [0.678, 0.516, 0.356], [0.322, 0.484, 0.644], [0.190, 0.750, 0.881], [0.822, 0.016, 0.644], [0.310, 0.250, 0.119]]
}

***

Entry 6:
{
  "formula": "Tl3AsBr",
  "functional": "PBE-GGA",
  "state": "optimized geometry",
  "dos_ef_per_ev_cell": 4.89,
  "dft_energy_ev_per_atom": -2.3947,
  "lattice": [[6.034, 0.000, 0.000], [0.000, 6.034, 0.000], [0.000, 0.000, 6.034]],
  "species": ["As", "Tl", "Tl", "Tl", "Br"],
  "frac_coords": [[0.500, 0.500, 0.500], [0.000, 0.500, 0.000], [0.000, 0.000, 0.500], [0.500, 0.000, 0.000], [0.000, 0.000, 0.000]]
}

***

Entry 7:
{
  "formula": "Y4Tc",
  "functional": "PBE-GGA",
  "state": "optimized geometry",
  "dos_ef_per_ev_cell": 6.21,
  "ef_kj_per_mol_atoms": 14,
  "lattice": [[5.307, 0.483, 1.919], [-3.723, 4.073, 1.279], [-2.036, -4.685, 2.447]],
  "species": ["Y", "Y", "Y", "Y", "Tc"],
  "frac_coords": [[0.651, 0.810, 0.461], [0.190, 0.651, 0.841], [0.810, 0.349, 0.159], [0.349, 0.190, 0.539], [0.000, 0.000, 0.000]]
}

***

Entry 8:
{
  "formula": "Ba2PmNi9",
  "functional": "PBE-GGA",
  "state": "optimized geometry",
  "dos_ef_per_ev_cell": 11.25,
  "ef_kj_per_mol_atoms": -3,
  "lattice": [[5.123, 0.000, 0.000], [2.561, 4.437, 0.000], [2.561, 1.479, 8.643]],
  "species": ["Ni", "Ni", "Ni", "Ni", "Ni", "Ni", "Ni", "Ni", "Ni", "Ba", "Ba", "Pm"],
  "frac_coords": [[0.079, 0.572, 0.777], [0.921, 0.428, 0.223], [0.428, 0.428, 0.223], [0.572, 0.079, 0.777], [0.500, 0.500, 0.500], [0.428, 0.921, 0.223], [0.668, 0.668, 0.997], [0.572, 0.572, 0.777], [0.332, 0.332, 0.003], [0.139, 0.139, 0.584], [0.861, 0.861, 0.416], [0.000, 0.000, 0.000]]
}

***

Entry 9:
{
  "formula": "Ba2NdEu",
  "functional": "PBE-GGA",
  "state": "optimized geometry",
  "dos_ef_per_ev_cell": 6.75,
  "ef_kj_per_mol_atoms": 29,
  "lattice": [[3.935, 0.000, 0.000], [1.967, 3.407, 0.000], [1.967, 1.136, 14.342]],
  "species": ["Ba", "Ba", "Nd", "Eu"],
  "frac_coords": [[0.085, 0.085, 0.745], [0.915, 0.915, 0.255], [0.000, 0.000, 0.000], [0.500, 0.500, 0.500]]
}

***

Entry 10:
{
  "formula": "PmPr5Y4",
  "functional": "PBE-GGA",
  "state": "optimized geometry",
  "dos_ef_per_ev_cell": 14.74,
  "ef_kj_per_mol_atoms": 25,
  "lattice": [[-4.489, -1.204, -4.085], [-6.516, -3.440, 3.488], [-5.195, 6.230, -0.815]],
  "species": ["Y", "Y", "Y", "Y", "Pr", "Pr", "Pr", "Pr", "Pr", "Pm"],
  "frac_coords": [[0.121, 0.325, 0.327], [0.446, 0.327, 0.675], [0.448, 0.673, 0.325], [0.773, 0.675, 0.673], [0.764, 0.002, 0.378], [0.685, 0.000, 0.000], [0.145, 0.998, 0.622], [0.766, 0.378, 0.998], [0.143, 0.622, 0.002], [0.220, 0.000, 0.000]]
}

***

Entry 11:
{
  "formula": "CaY2In2Hg2",
  "functional": "PBE-GGA",
  "state": "optimized geometry",
  "dos_ef_per_ev_cell": 2.98,
  "ef_kj_per_mol_atoms": -31,
  "lattice": [[-4.664, 0.985, -1.229], [-3.674, -1.394, 2.966], [-2.243, 8.003, 5.069]],
  "species": ["Hg", "Hg", "Y", "Y", "In", "In", "Ca"],
  "frac_coords": [[0.598, 0.598, 0.206], [0.402, 0.402, 0.794], [0.872, 0.872, 0.385], [0.128, 0.128, 0.615], [0.747, 0.747, 0.759], [0.253, 0.253, 0.241], [0.000, 0.000, 0.000]]
}

***

Entry 12:
{
  "formula": "Dy5Sb4As",
  "functional": "PBE-GGA",
  "state": "optimized geometry",
  "dos_ef_per_ev_cell": 1.31,
  "dft_energy_ev_per_atom": -5.6078,
  "lattice": [[-0.367, 3.919, -1.825], [0.341, -1.800, -3.933], [-15.192, -2.740, 2.329]],
  "species": ["Dy", "Dy", "Dy", "Dy", "Dy", "Sb", "Sb", "Sb", "Sb", "As"],
  "frac_coords": [[0.300, 0.300, 0.599], [0.700, 0.700, 0.401], [0.500, 0.500, 0.000], [0.095, 0.095, 0.190], [0.905, 0.905, 0.810], [0.401, 0.401, 0.801], [0.198, 0.198, 0.396], [0.599, 0.599, 0.199], [0.802, 0.802, 0.604], [0.000, 0.000, 0.000]]
}

***

Entry 13:
{
  "formula": "KRbSnS3",
  "functional": "PBE-GGA",
  "state": "optimized geometry",
  "dos_ef_per_ev_cell": 0.00,
  "dft_energy_ev_per_atom": -3.8766,
  "lattice": [[0.461, 6.694, 0.234], [-4.996, -0.049, 4.485], [7.300, -1.596, 6.839]],
  "species": ["S", "S", "S", "S", "S", "S", "K", "K", "Rb", "Rb", "Sn", "Sn"],
  "frac_coords": [[0.697, 0.103, 0.187], [0.303, 0.897, 0.813], [0.897, 0.303, 0.813], [0.776, 0.776, 0.508], [0.103, 0.697, 0.187], [0.224, 0.224, 0.492], [0.712, 0.288, 0.500], [0.288, 0.712, 0.500], [0.198, 0.198, 0.115], [0.802, 0.802, 0.885], [0.847, 0.847, 0.294], [0.153, 0.153, 0.706]]
}

***

Entry 14:
{
  "formula": "BeSBr2",
  "functional": "PBE-GGA",
  "state": "optimized geometry",
  "dos_ef_per_ev_cell": 2.30,
  "dft_energy_ev_per_atom": -1.8808,
  "lattice": [[-1.821, -4.491, -0.015], [-3.637, -1.150, 2.990], [-4.435, -0.810, -1.778]],
  "species": ["S", "Br", "Br", "Be"],
  "frac_coords": [[0.500, 0.500, 0.500], [0.750, 0.750, 0.750], [0.250, 0.250, 0.250], [0.000, 0.000, 0.000]]
}

***

Entry 15:
{
  "formula": "ReNi3Pd2",
  "functional": "PBE-GGA",
  "state": "optimized geometry",
  "dos_ef_per_ev_cell": 16.36,
  "ef_kj_per_mol_atoms": 3,
  "lattice": [[4.961, 0.000, -1.823], [-0.303, 4.494, -0.826], [-0.274, 1.129, 6.918]],
  "species": ["Pd", "Pd", "Pd", "Pd", "Re", "Re", "Ni", "Ni", "Ni", "Ni", "Ni", "Ni"],
  "frac_coords": [[0.797, 0.097, 0.333], [0.203, 0.903, 0.667], [0.537, 0.597, 0.333], [0.463, 0.403, 0.667], [0.122, 0.750, 0.000], [0.878, 0.250, 0.000], [0.962, 0.409, 0.681], [0.038, 0.591, 0.319], [0.619, 0.750, 0.000], [0.381, 0.250, 0.000], [0.719, 0.909, 0.681], [0.281, 0.091, 0.319]]
}

***

Entry 16:
{
  "formula": "Tb3ErHg4",
  "functional": "PBE-GGA",
  "state": "optimized geometry",
  "dos_ef_per_ev_cell": 9.00,
  "ef_kj_per_mol_atoms": -46,
  "lattice": [[3.718, 0.000, 0.000], [0.000, 3.718, 0.000], [0.000, 0.000, 14.967]],
  "species": ["Hg", "Hg", "Hg", "Hg", "Tb", "Tb", "Tb", "Er"],
  "frac_coords": [[0.000, 0.000, 0.879], [0.000, 0.000, 0.375], [0.000, 0.000, 0.121], [0.000, 0.000, 0.625], [0.500, 0.500, 0.752], [0.500, 0.500, 0.248], [0.500, 0.500, 0.500], [0.500, 0.500, 0.000]]
}

***

Entry 17:
{
  "formula": "AcSb2Au6",
  "functional": "PBE-GGA",
  "state": "optimized geometry",
  "dos_ef_per_ev_cell": 3.41,
  "dft_energy_ev_per_atom": -3.7600,
  "lattice": [[-2.373, -2.643, 4.276], [3.012, -2.849, -3.703], [7.315, 1.361, 4.902]],
  "species": ["Sb", "Sb", "Au", "Au", "Au", "Au", "Au", "Au", "Ac"],
  "frac_coords": [[0.667, 0.333, 0.500], [0.333, 0.667, 0.500], [0.500, 0.000, 0.201], [0.500, 0.000, 0.799], [0.000, 0.500, 0.799], [0.500, 0.500, 0.799], [0.500, 0.500, 0.201], [0.000, 0.500, 0.201], [0.000, 0.000, 0.000]]
}

***

Entry 18:
{
  "formula": "Tb5Y5Ho2",
  "functional": "PBE-GGA",
  "state": "optimized geometry",
  "dos_ef_per_ev_cell": 21.78,
  "ef_kj_per_mol_atoms": 6,
  "lattice": [[-0.877, 5.048, 2.305], [-1.906, -0.098, 6.335], [9.892, 1.932, 6.381]],
  "species": ["Y", "Y", "Y", "Y", "Y", "Tb", "Tb", "Tb", "Tb", "Tb", "Ho", "Ho"],
  "frac_coords": [[0.749, 0.252, 0.250], [0.251, 0.748, 0.750], [0.000, 0.000, 0.000], [0.796, 0.862, 0.546], [0.204, 0.138, 0.454], [0.295, 0.364, 0.046], [0.500, 0.500, 0.500], [0.461, 0.865, 0.213], [0.539, 0.135, 0.787], [0.705, 0.636, 0.954], [0.036, 0.641, 0.287], [0.964, 0.359, 0.713]]
}

***

Entry 19:
{
  "formula": "NbSbAs2",
  "functional": "PBE-GGA",
  "state": "optimized geometry",
  "dos_ef_per_ev_cell": 1.88,
  "dft_energy_ev_per_atom": -5.9449,
  "lattice": [[3.561, 0.000, 0.000], [1.781, 3.084, 0.000], [1.781, 1.028, 7.657]],
  "species": ["As", "As", "Sb", "Nb"],
  "frac_coords": [[0.259, 0.259, 0.224], [0.072, 0.072, 0.784], [0.504, 0.504, 0.488], [0.665, 0.665, 0.004]]
}

***

Entry 20:
{
  "formula": "KNbSi2Se8",
  "functional": "PBE-GGA",
  "state": "optimized geometry",
  "dos_ef_per_ev_cell": 10.17,
  "dft_energy_ev_per_atom": -4.5762,
  "lattice": [[6.459, 0.000, 0.000], [-3.229, 5.594, 0.000], [0.000, 0.000, 8.833]],
  "species": ["K", "Se", "Se", "Se", "Se", "Se", "Se", "Se", "Se", "Nb", "Si", "Si"],
  "frac_coords": [[0.000, 0.000, 0.000], [0.667, 0.333, 0.010], [0.333, 0.667, 0.990], [0.983, 0.330, 0.658], [0.347, 0.017, 0.658], [0.670, 0.653, 0.658], [0.017, 0.670, 0.342], [0.330, 0.347, 0.342], [0.653, 0.983, 0.342], [0.000, 0.000, 0.500], [0.667, 0.333, 0.265], [0.333, 0.667, 0.735]]
}

***

Entry 21:
{
  "formula": "CsLa3Mg",
  "functional": "PBE-GGA",
  "state": "optimized geometry",
  "dos_ef_per_ev_cell": 9.22,
  "ef_kj_per_mol_atoms": 55,
  "lattice": [[6.198, 0.000, 0.000], [0.000, 6.198, 0.000], [0.000, 0.000, 6.198]],
  "species": ["La", "La", "La", "Cs", "Mg"],
  "frac_coords": [[0.000, 0.000, 0.500], [0.000, 0.500, 0.000], [0.500, 0.000, 0.000], [0.500, 0.500, 0.500], [0.000, 0.000, 0.000]]
}

***

Entry 22:
{
  "formula": "NiHPdRu2",
  "functional": "PBE-GGA",
  "state": "optimized geometry",
  "dos_ef_per_ev_cell": 6.51,
  "dft_energy_ev_per_atom": -6.3751,
  "lattice": [[-2.856, -1.080, 2.348], [1.674, -3.440, 0.454], [1.959, 1.349, 3.003]],
  "species": ["Pd", "Ru", "Ru", "H", "Ni"],
  "frac_coords": [[0.500, 0.500, 0.500], [0.500, 0.000, 0.000], [0.000, 0.500, 0.000], [0.000, 0.000, 0.000], [0.000, 0.000, 0.500]]
}

***

Entry 23:
{
  "formula": "Ac2H3O",
  "functional": "PBE-GGA",
  "state": "optimized geometry",
  "dos_ef_per_ev_cell": 3.78,
  "dft_energy_ev_per_atom": -5.1853,
  "lattice": [[5.903, -0.005, -0.002], [0.002, 5.903, -0.002], [0.005, 0.005, 5.903]],
  "species": ["O", "O", "Ac", "Ac", "Ac", "Ac", "H", "H", "H", "H", "H", "H"],
  "frac_coords": [[0.750, 0.750, 0.250], [0.250, 0.250, 0.750], [0.000, 0.000, 0.000], [0.500, 0.500, 0.000], [0.000, 0.500, 0.500], [0.500, 0.000, 0.500], [0.750, 0.250, 0.250], [0.250, 0.750, 0.750], [0.250, 0.250, 0.250], [0.750, 0.250, 0.750], [0.750, 0.750, 0.750], [0.250, 0.750, 0.250]]
}